This record from Alexandria describes crystalline Pr4Al at its relaxed geometry. The functional is PBE.

Cell: 5.790 5.790 5.790 Å, 90.00 90.00 90.00°
Fractional coordinates of all 5 atoms:
Pr (0.000, 0.000, 0.000)
Pr (0.000, 0.500, 0.500)
Pr (0.500, 0.000, 0.500)
Pr (0.500, 0.500, 0.000)
Al (0.500, 0.500, 0.500)

Its energy of formation from the pure elements is 1.40 eV per formula unit. The space group is Pm-3m, No. 221. The density of states at the Fermi level is 9.2 states/eV per cell.